The following is a PBE calculation of crystalline ZnCdOF2 at its relaxed geometry, from Alexandria via LeMat-Bulk.

## Properties
DOS(E_F), states/eV/f.u.: 0.5
Uncorrected energy, eV per atom: -3.6635

Cell: 3.952 3.952 4.122 Å, 90.00 90.00 90.00°
Atoms (fractional coordinates):
Zn  0.000  0.000  0.000
Cd  0.500  0.500  0.500
O  0.000  0.000  0.500
F  0.000  0.500  0.000
F  0.500  0.000  0.000

***

The following is a PBE calculation of crystalline ZnCdOF2 at its relaxed geometry, from Alexandria via LeMat-Bulk.

## Properties
DOS(E_F), states/eV/f.u.: 1.8
Uncorrected energy, eV per atom: -3.1041

Cell: 4.283 4.283 4.371 Å, 90.00 90.00 90.00°
Atoms (fractional coordinates):
Zn  0.000  0.000  0.000
Cd  0.500  0.500  0.500
O  0.500  0.500  0.000
F  0.000  0.500  0.500
F  0.500  0.000  0.500

***

Computed energy above the most stable polymorph in this dataset, in the same sequence as the records: 0.0000 0.5594 eV/atom.
Computed formation energy (no corrections), in the same sequence as the records: -7.43 -4.63 eV/f.u..